Density functional theory data (GGA-PBE) for a relaxed Nd2SmScBi5 crystal.

Unit cell a=5.6356 b=5.6356 c=11.4144 alpha=90.00 beta=90.00 gamma=90.00
Fractional coordinates of all 9 atoms:
1 Bi 0.0000 0.5000 0.5000
2 Nd 0.5000 0.5000 0.2990
3 Sm 0.0000 0.0000 0.5000
4 Bi 0.5000 0.0000 0.5000
5 Nd 0.5000 0.5000 0.7010
6 Bi 0.0000 0.0000 0.7613
7 Bi 0.0000 0.0000 0.2387
8 Bi 0.5000 0.5000 0.0000
9 Sc 0.0000 0.0000 0.0000

Formation enthalpy at 0 K, eV per atom: -0.016
Raw total energy, eV/atom: -4.4591